This record from the Alexandria database describes a relaxed K3Pr2CrO6 crystal. The functional is GGA+U.

Properties
Total moment, Bohr magnetons per cell: 3.0
Total energy, Ry per atom: -0.4710

POSCAR file:
```
K3Pr2CrO6
1.0
3.025 -5.245 0.000
3.025 5.245 0.000
-1.991 0.000 6.255
K Pr Cr O
3 2 1 6
Direct
0.000 0.000 0.000
0.341 0.659 0.000
0.659 0.341 0.000
0.167 0.833 0.500
0.833 0.167 0.500
0.500 0.500 0.500
0.139 0.439 0.314
0.261 0.261 0.684
0.439 0.139 0.314
0.561 0.861 0.686
0.739 0.739 0.316
0.861 0.561 0.686
```